1.
4
Lattice="5.3195 0.0000 0.0000 0.0000 5.3195 0.0000 0.0000 0.0000 3.5114" Properties=species:S:1:pos:R:3 comment="Ca2InTc, relaxed, DFT PBE-GGA" final_energy_ev_per_fu=-15.73 formation_enthalpy_0k_mev_per_atom=344 magnetic_moment_mub_per_cell=1.75 n_ef_per_ev_fu=4.90 pbc="T T T"
Ca 0.0000 2.6598 0.0000
Ca 2.6598 0.0000 0.0000
In 0.0000 0.0000 1.7557
Tc 2.6598 2.6598 1.7557


2.
8
Lattice="-3.9021 3.9021 2.7373 3.9021 -3.9021 2.7373 3.9021 3.9021 -2.7373" Properties=species:S:1:pos:R:3 comment="CaInTc2, relaxed, DFT PBE-GGA" final_energy_ev_per_fu=-21.63 formation_enthalpy_0k_mev_per_atom=962 magnetic_moment_mub_per_cell=1.95 n_ef_per_ev_fu=4.22 pbc="T T T"
Ca 0.0000 0.0000 0.0000
Ca 0.0000 3.9021 1.3686
In 3.9021 0.0000 1.3686
In 0.0000 0.0000 2.7373
Tc 1.9511 2.1732 -0.6843
Tc 5.6310 1.9511 0.6843
Tc 1.9511 1.7289 2.0529
Tc -1.7289 1.9511 3.4216


3.
4
Lattice="3.5941 0.0000 0.0000 0.0000 3.5941 0.0000 0.0000 0.0000 6.4666" Properties=species:S:1:pos:R:3 comment="CaInTc2, relaxed, DFT PBE-GGA" final_energy_ev_per_fu=-23.71 formation_enthalpy_0k_mev_per_atom=442 magnetic_moment_mub_per_cell=0.00 n_ef_per_ev_fu=2.33 pbc="T T T"
Ca 0.0000 0.0000 0.0000
In 0.0000 0.0000 3.2333
Tc 1.7970 1.7970 2.0635
Tc 1.7970 1.7970 4.4030


4.
4
Lattice="4.5424 0.0000 0.0000 0.0000 4.5424 0.0000 0.0000 0.0000 4.6104" Properties=species:S:1:pos:R:3 comment="Ca2InTc, relaxed, DFT PBE-GGA" final_energy_ev_per_fu=-15.90 formation_enthalpy_0k_mev_per_atom=301 magnetic_moment_mub_per_cell=1.18 n_ef_per_ev_fu=3.28 pbc="T T T"
Ca 0.0000 2.2712 0.0000
Ca 2.2712 0.0000 0.0000
In 0.0000 0.0000 2.3052
Tc 2.2712 2.2712 2.3052


5.
8
Lattice="-2.1770 2.1770 10.6000 2.1770 -2.1770 10.6000 2.1770 2.1770 -10.6000" Properties=species:S:1:pos:R:3 comment="Ca2InTc, relaxed, DFT PBE-GGA" final_energy_ev_per_fu=-14.46 formation_enthalpy_0k_mev_per_atom=661 magnetic_moment_mub_per_cell=2.87 n_ef_per_ev_fu=3.84 pbc="T T T"
Ca 3.2655 1.0284 -2.6500
Ca 1.0284 1.0885 2.6500
Ca -1.0885 1.1486 7.9500
Ca 1.1486 1.0885 13.2501
In 2.1770 0.0000 5.3000
In 0.0000 0.0000 10.6000
Tc 0.0000 0.0000 0.0000
Tc 0.0000 2.1770 5.3000


6.
4
Lattice="4.6529 0.0000 0.0000 0.0000 1.9547 5.8847 0.0000 -1.9547 5.8847" Properties=species:S:1:pos:R:3 comment="Ca2InTc, relaxed, DFT PBE-GGA" final_energy_ev_per_fu=-16.13 formation_enthalpy_0k_mev_per_atom=244 magnetic_moment_mub_per_cell=0.73 n_ef_per_ev_fu=5.01 pbc="T T T"
Ca 0.0000 0.0000 0.0000
Ca 2.3265 0.0000 3.5539
In 2.3265 0.0000 6.9634
Tc 0.0000 0.0000 8.3765


7.
4
Lattice="-2.0332 2.0332 4.5569 2.0332 -2.0332 4.5569 2.0332 2.0332 -4.5569" Properties=species:S:1:pos:R:3 comment="CaInTc2, relaxed, DFT PBE-GGA" final_energy_ev_per_fu=-23.11 formation_enthalpy_0k_mev_per_atom=590 magnetic_moment_mub_per_cell=0.82 n_ef_per_ev_fu=4.46 pbc="T T T"
Ca 0.0000 0.0000 0.0000
In 0.0000 0.0000 4.5569
Tc 2.0332 0.0000 2.2784
Tc 0.0000 2.0332 2.2784


8.
4
Lattice="-2.3112 2.3112 4.3510 2.3112 -2.3112 4.3510 2.3112 2.3112 -4.3510" Properties=species:S:1:pos:R:3 comment="Ca2InTc, relaxed, DFT PBE-GGA" final_energy_ev_per_fu=-16.04 formation_enthalpy_0k_mev_per_atom=267 magnetic_moment_mub_per_cell=0.57 n_ef_per_ev_fu=3.04 pbc="T T T"
Ca 0.0000 0.0000 0.0000
Ca 0.0000 2.3112 2.1755
In 2.3112 0.0000 2.1755
Tc 0.0000 0.0000 4.3510


9.
4
Lattice="3.1261 0.0000 0.0000 0.0000 4.4873 0.0000 -0.0584 0.0000 6.7726" Properties=species:S:1:pos:R:3 comment="Ca2InTc, relaxed, DFT PBE-GGA" final_energy_ev_per_fu=-15.89 formation_enthalpy_0k_mev_per_atom=305 magnetic_moment_mub_per_cell=0.00 n_ef_per_ev_fu=3.25 pbc="T T T"
Ca -0.0087 0.0000 1.8079
Ca 3.0764 0.0000 4.9648
In 1.5631 2.2436 0.0000
Tc 1.5339 2.2436 3.3863


10.
4
Lattice="0.0000 3.3217 3.3217 3.3217 0.0000 3.3217 3.3217 3.3217 0.0000" Properties=species:S:1:pos:R:3 comment="CaInTc2, relaxed, DFT PBE-GGA" final_energy_ev_per_fu=-24.03 formation_enthalpy_0k_mev_per_atom=360 magnetic_moment_mub_per_cell=0.00 n_ef_per_ev_fu=3.05 pbc="T T T"
Ca 0.0000 0.0000 0.0000
In 4.9825 4.9825 4.9825
Tc 1.6608 1.6608 1.6608
Tc 3.3217 3.3217 3.3217


11.
4
Lattice="3.1262 0.0000 0.0000 0.0000 4.2326 0.0000 -1.4287 0.0000 6.0590" Properties=species:S:1:pos:R:3 comment="CaInTc2, relaxed, DFT PBE-GGA" final_energy_ev_per_fu=-24.44 formation_enthalpy_0k_mev_per_atom=257 magnetic_moment_mub_per_cell=0.00 n_ef_per_ev_fu=2.46 pbc="T T T"
Ca 0.0000 0.0000 0.0000
In 1.5898 2.1163 1.8871
Tc 0.0012 0.0000 3.2515
Tc 0.1778 2.1163 4.4122


12.
4
Lattice="-2.2724 2.2724 4.5933 2.2724 -2.2724 4.5933 2.2724 2.2724 -4.5933" Properties=species:S:1:pos:R:3 comment="Ca2InTc, relaxed, DFT PBE-GGA" final_energy_ev_per_fu=-15.91 formation_enthalpy_0k_mev_per_atom=299 magnetic_moment_mub_per_cell=1.20 n_ef_per_ev_fu=2.99 pbc="T T T"
Ca 2.2724 0.0000 2.2966
Ca 0.0000 2.2724 2.2966
In 0.0000 0.0000 0.0000
Tc 0.0000 0.0000 4.5933